Entry from Alexandria via LeMat-Bulk: a geometry-optimized Ce7SnSb2 structure (GGA-PBE).

Calculated values
- E_tot: -54.3 eV/f.u.
- ΔE_f (raw): -0.055 eV per atom
- Size of the total moment: 6.56 μB per formula unit
- DOS(E_F): 3.82 states/eV/atom

```
data_Ce7SnSb2
_symmetry_space_group_name_H-M 'P 1'
_symmetry_Int_Tables_number 1
_cell_length_a 5.679
_cell_length_b 8.488
_cell_length_c 8.488
_cell_angle_alpha 119.94
_cell_angle_beta 90.00
_cell_angle_gamma 90.00
loop_
_symmetry_equiv_pos_as_xyz
'x,y,z'
loop_
_atom_site_label
_atom_site_type_symbol
_atom_site_fract_x
_atom_site_fract_y
_atom_site_fract_z
Ce1 Ce 0.000 0.775 0.225
Ce2 Ce 0.000 0.225 0.775
Ce3 Ce 0.500 0.071 0.262
Ce4 Ce 0.500 0.929 0.738
Ce5 Ce 0.500 0.262 0.071
Ce6 Ce 0.500 0.738 0.929
Ce7 Ce 0.500 0.500 0.500
Sn1 Sn 0.000 0.000 0.000
Sb1 Sb 0.500 0.706 0.294
Sb2 Sb 0.500 0.294 0.706
```

***

Entry from Alexandria via LeMat-Bulk: a geometry-optimized Ce5SnSb3 structure (GGA-PBE).

Calculated values
- E_tot: -53.8 eV/f.u.
- ΔE_f (raw): -0.863 eV per atom
- Size of the total moment: 4.73 μB per formula unit
- DOS(E_F): 2.76 states/eV/atom

```
data_Ce5SnSb3
_symmetry_space_group_name_H-M 'P 1'
_symmetry_Int_Tables_number 1
_cell_length_a 6.442
_cell_length_b 9.546
_cell_length_c 9.546
_cell_angle_alpha 120.00
_cell_angle_beta 90.00
_cell_angle_gamma 90.00
loop_
_symmetry_equiv_pos_as_xyz
'x,y,z'
loop_
_atom_site_label
_atom_site_type_symbol
_atom_site_fract_x
_atom_site_fract_y
_atom_site_fract_z
Ce1 Ce 0.000 0.667 0.333
Ce2 Ce 0.500 0.333 0.667
Ce3 Ce 0.000 0.333 0.667
Ce4 Ce 0.500 0.667 0.333
Ce5 Ce 0.750 0.720 0.720
Ce6 Ce 0.750 0.000 0.280
Ce7 Ce 0.750 0.280 0.000
Ce8 Ce 0.250 0.280 0.280
Ce9 Ce 0.250 0.000 0.720
Ce10 Ce 0.250 0.720 0.000
Sn1 Sn 0.000 0.000 0.000
Sn2 Sn 0.500 0.000 0.000
Sb1 Sb 0.750 0.378 0.378
Sb2 Sb 0.750 0.000 0.622
Sb3 Sb 0.750 0.622 0.000
Sb4 Sb 0.250 0.622 0.622
Sb5 Sb 0.250 0.000 0.378
Sb6 Sb 0.250 0.378 0.000
```

***

Entry from Alexandria via LeMat-Bulk: a geometry-optimized CeSnSb2 structure (GGA-PBE).

Calculated values
- E_tot: -20.5 eV/f.u.
- ΔE_f (raw): -0.577 eV per atom
- Size of the total moment: 0.00 μB per formula unit
- ΔE to the lowest computed polymorph: 0 meV/atom
- DOS(E_F): 0.76 states/eV/atom

```
data_CeSnSb2
_symmetry_space_group_name_H-M 'P 1'
_symmetry_Int_Tables_number 1
_cell_length_a 4.388
_cell_length_b 4.928
_cell_length_c 4.928
_cell_angle_alpha 90.00
_cell_angle_beta 90.00
_cell_angle_gamma 90.00
loop_
_symmetry_equiv_pos_as_xyz
'x,y,z'
loop_
_atom_site_label
_atom_site_type_symbol
_atom_site_fract_x
_atom_site_fract_y
_atom_site_fract_z
Sb1 Sb 0.000 0.000 0.500
Sb2 Sb 0.000 0.500 0.000
Sn1 Sn 0.500 0.000 0.000
Ce1 Ce 0.500 0.500 0.500
```

***

Q: Number 1 is which compound?
A: Ce7SnSb2

***

Q: Which formula does entry 3 have?
A: CeSnSb2

***

Q: Among the records above, which one has the highest ΔE_f (raw)?
A: Ce7SnSb2